Entry 1:
# CdCuSn2Hg

A relaxed structure of CdCuSn2Hg (PBE, Alexandria via LeMat-Bulk).

Properties
theoretical density	7695	kg/m3
total magnetization	0.0000	μB/atom
calculated formation energy	193	meV/atom
DFT total energy	-12.35	eV per cell

a = 5.0818 Å, b = 5.0818 Å, c = 5.1303 Å
α = 90.00°, β = 90.00°, γ = 90.00°
With the nearest neighbours (Å) after each atom.
Sites, in units of the cell vectors:
1 Cd 0.0000 0.0000 0.0000  2 Cu 2.57
2 Cu 0.0000 0.0000 0.5000  4 Sn 2.54, 2 Cd 2.57
3 Sn 0.0000 0.5000 0.5000  2 Cu 2.54
4 Sn 0.5000 0.0000 0.5000  2 Cu 2.54
5 Hg 0.5000 0.5000 0.0000  4 Cd 3.59, 8 Sn 3.61

***

Entry 2:
# La2Nd6Ru

A relaxed structure of La2Nd6Ru (PBE, Alexandria via LeMat-Bulk).

Properties
theoretical density	6511	kg/m3
total magnetization	0.0000	μB/atom
calculated formation energy	137	meV/atom
DFT total energy	-46.50	eV per cell

a = 10.0844 Å, b = 10.0844 Å, c = 3.7491 Å
α = 90.09°, β = 90.09°, γ = 56.34°
With the nearest neighbours (Å) after each atom.
Sites, in units of the cell vectors:
1 La 0.1684 0.1684 0.4983  10 Nd 3.70-4.06, 2 La 3.75
2 La 0.8316 0.8316 0.5017  10 Nd 3.70-4.06, 2 La 3.75
3 Nd 0.1680 0.4974 0.9993  2 Nd 3.14-3.36, 1 Ru 3.36
4 Nd 0.2877 0.7123 0.5000  2 Ru 2.76
5 Nd 0.4974 0.1680 0.9993  2 Nd 3.14-3.36, 1 Ru 3.36
6 Nd 0.5026 0.8320 0.0007  2 Nd 3.14-3.36, 1 Ru 3.36
7 Nd 0.7123 0.2877 0.5000  2 Ru 2.76
8 Nd 0.8320 0.5026 0.0007  2 Nd 3.14-3.36, 1 Ru 3.36
9 Ru 0.5000 0.5000 0.0000  4 Nd 2.76

***

Entry 3:
# Tm6Sc2In3

A relaxed structure of Tm6Sc2In3 (PBE, Alexandria via LeMat-Bulk).

Properties
theoretical density	7516	kg/m3
total magnetization	0.0000	μB/atom
calculated formation energy	238	meV/atom
DFT total energy	-45.08	eV per cell

a = 11.7493 Å, b = 11.7493 Å, c = 11.7493 Å
α = 153.61°, β = 153.61°, γ = 37.66°
With the nearest neighbours (Å) after each atom.
Sites, in units of the cell vectors:
1 Tm 0.0929 0.5929 0.5000  2 Sc 2.81
2 Tm 0.1945 0.1945 0.0000  1 In 3.05, 1 Sc 3.09
3 Tm 0.4071 0.9071 0.5000  2 Sc 2.81
4 Tm 0.5929 0.0929 0.5000  2 Sc 2.81
5 Tm 0.8055 0.8055 0.0000  1 In 3.05, 1 Sc 3.09
6 Tm 0.9071 0.4071 0.5000  2 Sc 2.81
7 Sc 0.0556 0.0556 0.0000  1 Sc 2.47
8 Sc 0.9444 0.9444 0.0000  1 Sc 2.47
9 In 0.3315 0.3315 0.0000  5 Tm 3.05-3.17
10 In 0.5000 0.5000 0.0000  8 Tm 3.39, 2 In 3.75
11 In 0.6685 0.6685 0.0000  5 Tm 3.05-3.17

***

Entry 4:
# ScS2

A relaxed structure of ScS2 (PBE, Alexandria via LeMat-Bulk).

Properties
theoretical density	2632	kg/m3
total magnetization	0.0087	μB/atom
DFT total energy	-36.38	eV per cell
formation energy (no corrections)	-1.202	eV/atom

a = 6.0485 Å, b = 6.0485 Å, c = 3.7626 Å
α = 90.00°, β = 90.00°, γ = 90.00°
With the nearest neighbours (Å) after each atom.
Sites, in units of the cell vectors:
1 Sc 0.0000 0.0000 0.0000  6 S 2.54-2.56
2 Sc 0.5000 0.5000 0.5000  6 S 2.54-2.56
3 S 0.2030 0.2030 0.5000  3 Sc 2.54-2.56
4 S 0.2970 0.7030 0.0000  3 Sc 2.54-2.56
5 S 0.7030 0.2970 0.0000  3 Sc 2.54-2.56
6 S 0.7970 0.7970 0.5000  3 Sc 2.54-2.56

***

Entry 5:
# ZnAg2Sb

A relaxed structure of ZnAg2Sb (PBE, Alexandria via LeMat-Bulk).

Properties
relative energy among the computed polymorphs	87	meV/atom
theoretical density	8279	kg/m3
total magnetization	0.0001	μB/atom
DFT total energy	-31.40	eV per cell
formation energy (no corrections)	0.158	eV/atom

a = 3.2308 Å, b = 3.2308 Å, c = 26.8207 Å
α = 90.00°, β = 90.00°, γ = 120.00°
With the nearest neighbours (Å) after each atom.
Sites, in units of the cell vectors:
1 Zn 0.0000 0.0000 0.0000  6 Ag 2.76
2 Zn 0.3333 0.6667 0.6667  6 Ag 2.76
3 Zn 0.6667 0.3333 0.3333  6 Ag 2.76
4 Ag 0.0000 0.0000 0.2574  3 Zn 2.76, 3 Sb 3.07
5 Ag 0.0000 0.0000 0.7426  3 Zn 2.76, 3 Sb 3.07
6 Ag 0.3333 0.6667 0.4093  3 Zn 2.76, 3 Sb 3.07
7 Ag 0.3333 0.6667 0.9241  3 Zn 2.76, 3 Sb 3.07
8 Ag 0.6667 0.3333 0.0759  3 Zn 2.76, 3 Sb 3.07
9 Ag 0.6667 0.3333 0.5907  3 Zn 2.76, 3 Sb 3.07
10 Sb 0.0000 0.0000 0.5000  6 Ag 3.07, 6 Sb 3.23
11 Sb 0.3333 0.6667 0.1667  6 Ag 3.07, 6 Sb 3.23
12 Sb 0.6667 0.3333 0.8333  6 Ag 3.07, 6 Sb 3.23

***

Entry 6:
# CdGaAsBr2

A relaxed structure of CdGaAsBr2 (PBE, Alexandria via LeMat-Bulk).

Properties
relative energy among the computed polymorphs	0	meV/atom
theoretical density	4896	kg/m3
total magnetization	0.1921	μB/atom
DFT total energy	-11.68	eV per cell
formation energy (no corrections)	0.052	eV/atom

a = 5.2022 Å, b = 5.2022 Å, c = 5.2241 Å
α = 90.00°, β = 90.00°, γ = 90.00°
With the nearest neighbours (Å) after each atom.
Sites, in units of the cell vectors:
1 Cd 0.0000 0.0000 0.0000  4 As 3.68, 8 Br 3.69
2 Ga 0.5000 0.5000 0.5000  4 Br 2.60, 2 As 2.61
3 As 0.5000 0.5000 0.0000  2 Ga 2.61
4 Br 0.0000 0.5000 0.5000  2 Ga 2.60
5 Br 0.5000 0.0000 0.5000  2 Ga 2.60

***

Entry 7:
# NbVAs2Br

A relaxed structure of NbVAs2Br (PBE, Alexandria via LeMat-Bulk).

Properties
relative energy among the computed polymorphs	0	meV/atom
theoretical density	4767	kg/m3
total magnetization	0.7070	μB/atom
DFT total energy	-27.23	eV per cell
formation energy (no corrections)	0.585	eV/atom

a = 4.9874 Å, b = 4.9874 Å, c = 5.2324 Å
α = 90.00°, β = 90.00°, γ = 90.00°
With the nearest neighbours (Å) after each atom.
Sites, in units of the cell vectors:
1 Nb 0.0000 0.0000 0.0000  4 As 2.49, 2 Br 2.62
2 V 0.5000 0.5000 0.5000  4 Br 3.53, 8 As 3.61
3 As 0.0000 0.5000 0.0000  2 Nb 2.49
4 As 0.5000 0.0000 0.0000  2 Nb 2.49
5 Br 0.0000 0.0000 0.5000  2 Nb 2.62

***

Entry 8:
# BeBrF

A relaxed structure of BeBrF (PBE, Alexandria via LeMat-Bulk).

Properties
relative energy among the computed polymorphs	0	meV/atom
theoretical density	2745	kg/m3
total magnetization	0.0000	μB/atom
DFT total energy	-27.34	eV per cell
formation energy (no corrections)	-2.134	eV/atom

a = 3.5113 Å, b = 4.9085 Å, c = 7.7701 Å
α = 90.00°, β = 102.88°, γ = 90.00°
With the nearest neighbours (Å) after each atom.
Sites, in units of the cell vectors:
1 Be 0.0566 0.0000 0.1160  2 F 1.55
2 Be 0.9434 0.5000 0.8840  2 F 1.55
3 Br 0.3575 0.4358 0.7101  2 Be 2.22
4 Br 0.6425 0.9358 0.2899  2 Be 2.22
5 F 0.0193 0.2933 0.0396  2 Be 1.55
6 F 0.9807 0.7933 0.9604  2 Be 1.55

***

Entry 9:
# Pr7Nd2Er

A relaxed structure of Pr7Nd2Er (PBE, Alexandria via LeMat-Bulk).

Properties
theoretical density	5706	kg/m3
total magnetization	0.0000	μB/atom
calculated formation energy	606	meV/atom
DFT total energy	-41.49	eV per cell

a = 9.6649 Å, b = 9.6649 Å, c = 5.5221 Å
α = 90.00°, β = 90.00°, γ = 125.56°
With the nearest neighbours (Å) after each atom.
Sites, in units of the cell vectors:
1 Pr 0.0000 0.0000 0.0000  4 Pr 3.39, 2 Nd 3.52
2 Pr 0.2093 0.4279 0.0000  2 Pr 3.21-3.39, 2 Nd 3.26-3.57
3 Pr 0.2864 0.7136 0.5000  2 Nd 3.10
4 Pr 0.4279 0.2093 0.0000  2 Pr 3.21-3.39, 2 Nd 3.26-3.57
5 Pr 0.5721 0.7907 0.0000  2 Pr 3.21-3.39, 2 Nd 3.26-3.57
6 Pr 0.7136 0.2864 0.5000  2 Nd 3.10
7 Pr 0.7907 0.5721 0.0000  2 Pr 3.21-3.39, 2 Nd 3.26-3.57
8 Nd 0.2049 0.7951 0.0000  4 Pr 3.10-3.26
9 Nd 0.7951 0.2049 0.0000  4 Pr 3.10-3.26
10 Er 0.5000 0.5000 0.5000  10 Pr 3.67-3.71

***

Entry 10:
# PmGdAlAu

A relaxed structure of PmGdAlAu (PBE, Alexandria via LeMat-Bulk).

Properties
theoretical density	8705	kg/m3
total magnetization	1.9217	μB/atom
calculated formation energy	-531	meV/atom
DFT total energy	-111.90	eV per cell

a = 7.3772 Å, b = 7.3772 Å, c = 7.3772 Å
α = 90.00°, β = 90.00°, γ = 90.00°
With the nearest neighbours (Å) after each atom.
Sites, in units of the cell vectors:
1 Pm 0.0000 0.0000 0.0000  4 Al 3.19, 4 Au 3.19
2 Pm 0.0000 0.5000 0.5000  4 Al 3.19, 4 Au 3.19
3 Pm 0.5000 0.0000 0.5000  4 Al 3.19, 4 Au 3.19
4 Pm 0.5000 0.5000 0.0000  4 Al 3.19, 4 Au 3.19
5 Gd 0.0000 0.0000 0.5000  4 Al 3.19, 4 Au 3.19
6 Gd 0.0000 0.5000 0.0000  4 Al 3.19, 4 Au 3.19
7 Gd 0.5000 0.0000 0.0000  4 Al 3.19, 4 Au 3.19
8 Gd 0.5000 0.5000 0.5000  4 Al 3.19, 4 Au 3.19
9 Al 0.2500 0.2500 0.2500  4 Gd 3.19, 4 Pm 3.19
10 Al 0.2500 0.7500 0.7500  4 Gd 3.19, 4 Pm 3.19
11 Al 0.7500 0.2500 0.7500  4 Gd 3.19, 4 Pm 3.19
12 Al 0.7500 0.7500 0.2500  4 Gd 3.19, 4 Pm 3.19
13 Au 0.2500 0.2500 0.7500  4 Gd 3.19, 4 Pm 3.19
14 Au 0.2500 0.7500 0.2500  4 Gd 3.19, 4 Pm 3.19
15 Au 0.7500 0.2500 0.2500  4 Gd 3.19, 4 Pm 3.19
16 Au 0.7500 0.7500 0.7500  4 Gd 3.19, 4 Pm 3.19

***

Entry 11:
# NdPaIrSe

A relaxed structure of NdPaIrSe (PBE, Alexandria via LeMat-Bulk).

Properties
theoretical density	10387	kg/m3
total magnetization	0.0000	μB/atom
DFT total energy	-93.02	eV per cell
formation energy (no corrections)	-1.099	eV/atom

a = 4.0086 Å, b = 4.0086 Å, c = 22.2817 Å
α = 90.00°, β = 90.00°, γ = 120.00°
With the nearest neighbours (Å) after each atom.
Sites, in units of the cell vectors:
1 Nd 0.0000 0.0000 0.0000  3 Ir 2.98, 3 Se 3.14
2 Nd 0.3333 0.6667 0.6667  3 Ir 2.98, 3 Se 3.14
3 Nd 0.6667 0.3333 0.3333  3 Ir 2.98, 3 Se 3.14
4 Pa 0.0000 0.0000 0.8150  3 Ir 2.72
5 Pa 0.3333 0.6667 0.4816  3 Ir 2.72
6 Pa 0.6667 0.3333 0.1483  3 Ir 2.72
7 Ir 0.0000 0.0000 0.4175  3 Pa 2.72, 3 Nd 2.98
8 Ir 0.3333 0.6667 0.0842  3 Pa 2.72, 3 Nd 2.98
9 Ir 0.6667 0.3333 0.7508  3 Pa 2.72, 3 Nd 2.98
10 Se 0.0000 0.0000 0.2380  3 Pa 3.06, 3 Nd 3.14
11 Se 0.3333 0.6667 0.9046  3 Pa 3.06, 3 Nd 3.14
12 Se 0.6667 0.3333 0.5713  3 Pa 3.06, 3 Nd 3.14

***

Entry 12:
# PrGa2SiTc2

A relaxed structure of PrGa2SiTc2 (PBE, Alexandria via LeMat-Bulk).

Properties
theoretical density	7206	kg/m3
total magnetization	0.0001	μB/atom
DFT total energy	-38.82	eV per cell
formation energy (no corrections)	-0.306	eV/atom

a = 4.5129 Å, b = 4.5129 Å, c = 5.7076 Å
α = 90.00°, β = 90.00°, γ = 90.00°
With the nearest neighbours (Å) after each atom.
Sites, in units of the cell vectors:
1 Pr 0.0000 0.0000 0.0000  2 Si 2.85
2 Ga 0.5000 0.5000 0.2390  4 Tc 2.70, 2 Ga 2.73-2.98
3 Ga 0.5000 0.5000 0.7610  4 Tc 2.70, 2 Ga 2.73-2.98
4 Si 0.0000 0.0000 0.5000  4 Tc 2.26
5 Tc 0.0000 0.5000 0.5000  2 Si 2.26
6 Tc 0.5000 0.0000 0.5000  2 Si 2.26

***

Entry 13:
# PrCoC2

A relaxed structure of PrCoC2 (PBE, Alexandria via LeMat-Bulk).

Properties
theoretical density	6983	kg/m3
total magnetization	0.0000	μB/atom
calculated formation energy	-243	meV/atom
DFT total energy	-125.23	eV per cell

a = 5.4138 Å, b = 5.4171 Å, c = 7.4216 Å
α = 90.00°, β = 101.96°, γ = 90.00°
With the nearest neighbours (Å) after each atom.
Sites, in units of the cell vectors:
1 Pr 0.0000 0.0740 0.0000  8 C 2.74-2.78, 6 Co 3.03-3.06
2 Pr 0.0000 0.9260 0.5000  8 C 2.74-2.78, 6 Co 3.03-3.06
3 Pr 0.5000 0.4260 0.5000  8 C 2.74-2.78, 6 Co 3.03-3.06
4 Pr 0.5000 0.5740 0.0000  8 C 2.74-2.78, 6 Co 3.03-3.06
5 Co 0.0580 0.4287 0.6926  4 C 1.94-2.02
6 Co 0.0580 0.5713 0.1926  4 C 1.94-2.02
7 Co 0.5580 0.0713 0.1926  4 C 1.94-2.02
8 Co 0.5580 0.9287 0.6926  4 C 1.94-2.02
9 C 0.3297 0.1803 0.7724  1 C 1.38
10 C 0.3297 0.8197 0.2724  1 C 1.38
11 C 0.4822 0.0762 0.9248  1 C 1.38
12 C 0.4822 0.9238 0.4248  1 C 1.38
13 C 0.8297 0.3197 0.2724  1 C 1.38
14 C 0.8297 0.6803 0.7724  1 C 1.38
15 C 0.9822 0.4238 0.4248  1 C 1.38
16 C 0.9822 0.5762 0.9248  1 C 1.38